(1)
# Ba2TaTl3Se6 (PBE-GGA, relaxed)
# magnetization	0.00	μB/f.u.
# ΔE_f (raw)	-12.3	eV/f.u.
# electronic total energy	-4.667	eV per atom
data_Ba2TaTl3Se6
_symmetry_space_group_name_H-M 'C 1 2/m 1'
_symmetry_Int_Tables_number 12
_cell_length_a 7.820
_cell_length_b 13.484
_cell_length_c 7.820
_cell_angle_alpha 90.00
_cell_angle_beta 108.92
_cell_angle_gamma 90.00
loop_
_symmetry_equiv_pos_as_xyz
'x,y,z'
'-x,-y,-z'
'-x,y,-z'
'x,-y,z'
'x+1/2,y+1/2,z'
'-x+1/2,-y+1/2,-z'
'-x+1/2,y+1/2,-z'
'x+1/2,-y+1/2,z'
loop_
_atom_site_label
_atom_site_type_symbol
_atom_site_fract_x
_atom_site_fract_y
_atom_site_fract_z
Ba1 Ba 0.000 0.167 0.000
Ta1 Ta 0.000 0.500 0.000
Tl1 Tl 0.000 0.000 0.500
Tl2 Tl 0.000 0.340 0.500
Se1 Se 0.203 0.500 0.782
Se2 Se 0.206 0.365 0.207


(2)
# Ga2PPbO6 (PBE-GGA, relaxed)
# magnetization	0.00	μB/f.u.
# ΔE_f (raw)	-17.2	eV/f.u.
# electronic total energy	-6.209	eV per atom
data_Ga2PPbO6
_symmetry_space_group_name_H-M 'C 1 2/c 1'
_symmetry_Int_Tables_number 15
_cell_length_a 10.400
_cell_length_b 11.526
_cell_length_c 5.829
_cell_angle_alpha 90.00
_cell_angle_beta 115.12
_cell_angle_gamma 90.00
loop_
_symmetry_equiv_pos_as_xyz
'x,y,z'
'-x,-y,-z'
'-x,y,-z+1/2'
'x,-y,z+1/2'
'x+1/2,y+1/2,z'
'-x+1/2,-y+1/2,-z'
'-x+1/2,y+1/2,-z+1/2'
'x+1/2,-y+1/2,z+1/2'
loop_
_atom_site_label
_atom_site_type_symbol
_atom_site_fract_x
_atom_site_fract_y
_atom_site_fract_z
Ga1 Ga 0.207 0.080 0.153
P1 P 0.000 0.247 0.750
Pb1 Pb 0.000 0.438 0.250
O1 O 0.046 0.170 0.992
O2 O 0.128 0.321 0.769
O3 O 0.233 0.039 0.472


(3)
# Ni2SnMoCl (PBE-GGA, relaxed)
# magnetization	3.58	μB/f.u.
# D(E_F)	1.07	states/eV per atom
# ΔE_f (raw)	6.6	eV/f.u.
# electronic total energy	-4.325	eV per atom
data_Ni2SnMoCl
_symmetry_space_group_name_H-M 'P 4/m m m'
_symmetry_Int_Tables_number 123
_symmetry_space_group_name_Hall '-P 4 2'
_cell_length_a 4.699
_cell_length_b 4.699
_cell_length_c 5.411
_cell_angle_alpha 90.00
_cell_angle_beta 90.00
_cell_angle_gamma 90.00
loop_
_atom_site_label
_atom_site_type_symbol
_atom_site_fract_x
_atom_site_fract_y
_atom_site_fract_z
Ni1 Ni 0.000 0.500 0.000
Sn1 Sn 0.000 0.000 0.000
Mo1 Mo 0.000 0.000 0.500
Cl1 Cl 0.500 0.500 0.500


(4)
# La8PrY2 (PBE-GGA, relaxed)
# magnetization	0.00	μB/f.u.
# D(E_F)	1.83	states/eV per atom
# electronic total energy	-5.178	eV per atom
# ΔE_f	1	kJ/mol of atoms
data_La8PrY2
_symmetry_space_group_name_H-M 'P -1'
_symmetry_Int_Tables_number 2
_cell_length_a 6.389
_cell_length_b 6.424
_cell_length_c 9.815
_cell_angle_alpha 96.29
_cell_angle_beta 90.03
_cell_angle_gamma 99.62
loop_
_symmetry_equiv_pos_as_xyz
'x,y,z'
'-x,-y,-z'
loop_
_atom_site_label
_atom_site_type_symbol
_atom_site_fract_x
_atom_site_fract_y
_atom_site_fract_z
La1 La 0.093 0.047 0.182
La2 La 0.183 0.591 0.364
La3 La 0.272 0.137 0.547
La4 La 0.363 0.686 0.730
Pr1 Pr 0.000 0.500 0.000
Y1 Y 0.454 0.229 0.911